one | Ca3TiCu | PBE-GGA | optimized geometry

Calculated values
Calculated volume: 194.45 Å³ per cell
Mass density: 2.0 g/cm3

```
data_Ca3TiCu
_chemical_formula_sum 'Ca3 Ti1 Cu1'
_symmetry_space_group_name_H-M 'P m -3 m'
_symmetry_Int_Tables_number 221
_symmetry_space_group_name_Hall '-P 4 2 3'
_cell_length_a 5.793
_cell_length_b 5.793
_cell_length_c 5.793
_cell_angle_alpha 90.00
_cell_angle_beta 90.00
_cell_angle_gamma 90.00
loop_
_atom_site_label
_atom_site_type_symbol
_atom_site_fract_x
_atom_site_fract_y
_atom_site_fract_z
Ca1 Ca 0.000 0.000 0.500
Ti1 Ti 0.000 0.000 0.000
Cu1 Cu 0.500 0.500 0.500
```

***

two | Ca3TiCu | PBE-GGA | optimized geometry

Calculated values
Calculated volume: 166.29 Å³ per cell
Mass density: 2.3 g/cm3

```
data_Ca3TiCu
_chemical_formula_sum 'Ca3 Ti1 Cu1'
_symmetry_space_group_name_H-M 'P m -3 m'
_symmetry_Int_Tables_number 221
_symmetry_space_group_name_Hall '-P 4 2 3'
_cell_length_a 5.499
_cell_length_b 5.499
_cell_length_c 5.499
_cell_angle_alpha 90.00
_cell_angle_beta 90.00
_cell_angle_gamma 90.00
loop_
_atom_site_label
_atom_site_type_symbol
_atom_site_fract_x
_atom_site_fract_y
_atom_site_fract_z
Ca1 Ca 0.000 0.000 0.500
Ti1 Ti 0.500 0.500 0.500
Cu1 Cu 0.000 0.000 0.000
```

***

two is favored, and the nearest alternative lies 552 meV per atom above it.

***

one | Ca2TiCu2 | PBE-GGA | optimized geometry

Calculated values
Calculated volume: 221.75 Å³ per cell
Mass density: 3.8 g/cm3

```
data_Ca2TiCu2
_chemical_formula_sum 'Ca4 Ti2 Cu4'
_symmetry_space_group_name_H-M 'P 4/m b m'
_symmetry_Int_Tables_number 127
_symmetry_space_group_name_Hall '-P 4 2ab'
_cell_length_a 6.956
_cell_length_b 6.956
_cell_length_c 4.583
_cell_angle_alpha 90.00
_cell_angle_beta 90.00
_cell_angle_gamma 90.00
loop_
_atom_site_label
_atom_site_type_symbol
_atom_site_fract_x
_atom_site_fract_y
_atom_site_fract_z
Ca1 Ca 0.176 0.324 0.000
Ti1 Ti 0.000 0.000 0.500
Cu1 Cu 0.127 0.627 0.500
```

***

two | Ca2TiCu2 | PBE-GGA | optimized geometry

Calculated values
Calculated volume: 231.21 Å³ per cell
Mass density: 3.7 g/cm3

```
data_Ca2TiCu2
_chemical_formula_sum 'Ca4 Ti2 Cu4'
_symmetry_space_group_name_H-M 'I 4/m m m'
_symmetry_Int_Tables_number 139
_symmetry_space_group_name_Hall '-I 4 2'
_cell_length_a 3.411
_cell_length_b 3.411
_cell_length_c 19.875
_cell_angle_alpha 90.00
_cell_angle_beta 90.00
_cell_angle_gamma 90.00
loop_
_atom_site_label
_atom_site_type_symbol
_atom_site_fract_x
_atom_site_fract_y
_atom_site_fract_z
Ca1 Ca 0.000 0.000 0.124
Ti1 Ti 0.000 0.000 0.500
Cu1 Cu 0.000 0.500 0.250
```

***

one is favored, and the nearest alternative lies 183 meV per atom above it.

***

one | CaTl2Cu2 | PBE-GGA | optimized geometry

Calculated values
Calculated volume: 224.45 Å³ per cell
Mass density: 8.5 g/cm3

```
data_CaTl2Cu2
_chemical_formula_sum 'Ca2 Tl4 Cu4'
_symmetry_space_group_name_H-M 'P 4/m b m'
_symmetry_Int_Tables_number 127
_symmetry_space_group_name_Hall '-P 4 2ab'
_cell_length_a 8.119
_cell_length_b 8.119
_cell_length_c 3.405
_cell_angle_alpha 90.00
_cell_angle_beta 90.00
_cell_angle_gamma 90.00
loop_
_atom_site_label
_atom_site_type_symbol
_atom_site_fract_x
_atom_site_fract_y
_atom_site_fract_z
Ca1 Ca 0.000 0.000 0.000
Tl1 Tl 0.137 0.363 0.000
Cu1 Cu 0.162 0.662 0.500
```

***

two | CaTl2Cu2 | PBE-GGA | optimized geometry

Calculated values
Calculated volume: 229.29 Å³ per cell
Mass density: 8.3 g/cm3

```
data_CaTl2Cu2
_chemical_formula_sum 'Ca2 Tl4 Cu4'
_symmetry_space_group_name_H-M 'I 4/m m m'
_symmetry_Int_Tables_number 139
_symmetry_space_group_name_Hall '-I 4 2'
_cell_length_a 4.505
_cell_length_b 4.505
_cell_length_c 11.295
_cell_angle_alpha 90.00
_cell_angle_beta 90.00
_cell_angle_gamma 90.00
loop_
_atom_site_label
_atom_site_type_symbol
_atom_site_fract_x
_atom_site_fract_y
_atom_site_fract_z
Ca1 Ca 0.000 0.000 0.000
Tl1 Tl 0.000 0.500 0.250
Cu1 Cu 0.000 0.000 0.396
```

***

two is favored, and the nearest alternative lies 140 meV per atom above it.

***

one | Ca2VCu | PBE-GGA | optimized geometry

Calculated values
Calculated volume: 412.31 Å³ per cell
Mass density: 3.1 g/cm3

```
data_Ca2VCu
_chemical_formula_sum 'Ca8 V4 Cu4'
_symmetry_space_group_name_H-M 'I -4 2 d'
_symmetry_Int_Tables_number 122
_symmetry_space_group_name_Hall 'I -4 2bw'
_cell_length_a 8.167
_cell_length_b 8.167
_cell_length_c 6.182
_cell_angle_alpha 90.00
_cell_angle_beta 90.00
_cell_angle_gamma 90.00
loop_
_atom_site_label
_atom_site_type_symbol
_atom_site_fract_x
_atom_site_fract_y
_atom_site_fract_z
Ca1 Ca 0.208 0.250 0.125
V1 V 0.000 0.000 0.500
Cu1 Cu 0.000 0.000 0.000
```

***

two | Ca2VCu | PBE-GGA | optimized geometry

Calculated values
Calculated volume: 394.52 Å³ per cell
Mass density: 3.3 g/cm3

```
data_Ca2VCu
_chemical_formula_sum 'Ca8 V4 Cu4'
_symmetry_space_group_name_H-M 'F m -3 m'
_symmetry_Int_Tables_number 225
_symmetry_space_group_name_Hall '-F 4 2 3'
_cell_length_a 7.334
_cell_length_b 7.334
_cell_length_c 7.334
_cell_angle_alpha 90.00
_cell_angle_beta 90.00
_cell_angle_gamma 90.00
loop_
_atom_site_label
_atom_site_type_symbol
_atom_site_fract_x
_atom_site_fract_y
_atom_site_fract_z
Ca1 Ca 0.250 0.250 0.250
V1 V 0.000 0.000 0.000
Cu1 Cu 0.000 0.000 0.500
```

***

two is favored, and the nearest alternative lies 183 meV per atom above it.

***

one | Ca2CuW | PBE-GGA | optimized geometry

Calculated values
Calculated volume: 175.94 Å³ per cell
Mass density: 6.2 g/cm3

```
data_Ca2CuW
_chemical_formula_sum 'Ca4 Cu2 W2'
_symmetry_space_group_name_H-M 'C 1 m 1'
_symmetry_Int_Tables_number 8
_symmetry_space_group_name_Hall 'C -2y'
_cell_length_a 11.638
_cell_length_b 2.945
_cell_length_c 5.483
_cell_angle_alpha 90.00
_cell_angle_beta 110.59
_cell_angle_gamma 90.00
loop_
_atom_site_label
_atom_site_type_symbol
_atom_site_fract_x
_atom_site_fract_y
_atom_site_fract_z
Ca1 Ca 0.000 0.000 0.000
Ca2 Ca 0.198 0.000 0.622
Cu1 Cu 0.447 0.000 0.475
W1 W 0.271 0.500 0.179
```

***

two | Ca2CuW | PBE-GGA | optimized geometry

Calculated values
Calculated volume: 256.38 Å³ per cell
Mass density: 6.4 g/cm3

```
data_Ca2CuW
_chemical_formula_sum 'Ca6 Cu3 W3'
_symmetry_space_group_name_H-M 'R -3 m'
_symmetry_Int_Tables_number 166
_symmetry_space_group_name_Hall '-R 3 2"'
_cell_length_a 3.1416
_cell_length_b 3.1416
_cell_length_c 29.9955
_cell_angle_alpha 90.00
_cell_angle_beta 90.00
_cell_angle_gamma 120.00
loop_
_atom_site_label
_atom_site_type_symbol
_atom_site_fract_x
_atom_site_fract_y
_atom_site_fract_z
Ca1 Ca 0.0000 0.0000 0.2476
Cu1 Cu 0.0000 0.0000 0.5000
W1 W 0.0000 0.0000 0.0000
```

***

one is favored, and the nearest alternative lies 188 meV per atom above it.

***

one | Ca2CuW | PBE-GGA | optimized geometry

Calculated values
Calculated volume: 84.20 Å³ per cell
Mass density: 6.5 g/cm3

```
data_Ca2CuW
_chemical_formula_sum 'Ca2 Cu1 W1'
_symmetry_space_group_name_H-M 'P 4/m m m'
_symmetry_Int_Tables_number 123
_symmetry_space_group_name_Hall '-P 4 2'
_cell_length_a 3.057
_cell_length_b 3.057
_cell_length_c 9.010
_cell_angle_alpha 90.00
_cell_angle_beta 90.00
_cell_angle_gamma 90.00
loop_
_atom_site_label
_atom_site_type_symbol
_atom_site_fract_x
_atom_site_fract_y
_atom_site_fract_z
Ca1 Ca 0.000 0.000 0.236
Cu1 Cu 0.500 0.500 0.000
W1 W 0.500 0.500 0.500
```

***

two | Ca2CuW | PBE-GGA | optimized geometry

Calculated values
Calculated volume: 186.28 Å³ per cell
Mass density: 5.8 g/cm3

```
data_Ca2CuW
_chemical_formula_sum 'Ca4 Cu2 W2'
_symmetry_space_group_name_H-M 'A m m 2'
_symmetry_Int_Tables_number 38
_symmetry_space_group_name_Hall 'A 2 -2'
_cell_length_a 4.617
_cell_length_b 3.309
_cell_length_c 12.191
_cell_angle_alpha 90.00
_cell_angle_beta 90.00
_cell_angle_gamma 90.00
loop_
_atom_site_label
_atom_site_type_symbol
_atom_site_fract_x
_atom_site_fract_y
_atom_site_fract_z
Ca1 Ca 0.000 0.000 0.000
Ca2 Ca 0.500 0.000 0.315
Cu1 Cu 0.500 0.000 0.615
W1 W 0.000 0.000 0.709
```

***

one is favored, and the nearest alternative lies 113 meV per atom above it.